(1)
HfCuB: relaxed, PBE-GGA.

M_tot ... 0.00 μB/f.u.
DFT formation energy ... -0.165 eV/atom
Calculated volume ... 14.284 A^3/atom

Structure (extended XYZ):
```
6
Lattice="3.1007 0.0000 0.0000 1.5425 4.0621 0.0000 1.5416 0.7786 6.8043" Properties=species:S:1:pos:R:3 pbc="T T T"
Hf 0.0000 0.0000 0.0000
Hf 1.5499 1.9164 2.7918
Cu 3.0970 2.4835 5.1102
Cu 4.6443 4.2455 4.2396
B 1.5494 1.7065 0.4512
B 3.0995 2.2435 0.9576
```

---

(2)
HfCuB2: relaxed, PBE-GGA.

M_tot ... 0.00 μB/f.u.
DFT formation energy ... 0.124 eV/atom
Excess energy over the best structure of this formula in the dataset ... 0.0 kJ/mol of atoms
Calculated volume ... 12.113 A^3/atom

Structure (extended XYZ):
```
8
Lattice="-1.8922 1.8922 6.7666 1.8922 -1.8922 6.7666 1.8922 1.8922 -6.7666" Properties=species:S:1:pos:R:3 pbc="T T T"
Hf 1.8922 0.9461 1.6917
Hf 0.0000 0.9461 5.0750
Cu 1.8922 -0.9461 5.0750
Cu 0.0000 2.8382 1.6917
B 0.0000 0.0000 0.0000
B 0.9461 0.9461 -3.3833
B 0.9461 -0.9461 3.3833
B 0.0000 1.8922 0.0000
```

---

(3)
HfCuB: relaxed, PBE-GGA.

M_tot ... 0.00 μB/f.u.
DFT formation energy ... -0.210 eV/atom
Calculated volume ... 13.674 A^3/atom

Structure (extended XYZ):
```
6
Lattice="3.7487 0.0000 0.0000 0.0000 3.3294 0.0000 -0.8582 0.0000 6.5736" Properties=species:S:1:pos:R:3 pbc="T T T"
Hf 0.0000 0.0000 0.0000
Hf 0.0133 0.0000 3.2116
Cu 1.0341 1.6647 5.4537
Cu 1.8650 1.6647 1.4567
B 1.9130 1.6647 3.4841
B 2.9243 1.6647 4.7790
```

---

What is the DFT formation energy in the second record? 0.124 eV/atom